(one)
# FeAgPb2

A geometry-optimized FeAgPb2 structure (GGA-PBE, the Alexandria database).

Lattice parameters (Å, degrees): 9.002 3.464 5.955 90.00 103.03 90.00
Space group C2/m (No. 12)
Unique sites:
Fe 0.000 0.000 0.000 [2 per cell]
Ag 0.000 0.500 0.500 [2 per cell]
Pb 0.239 0.500 0.228 [4 per cell]

- Magnetization: 5.08 Bohr magnetons per cell

(two)
# FeAgPb2

A geometry-optimized FeAgPb2 structure (GGA-PBE, the Alexandria database).

Lattice parameters (Å, degrees): 4.365 4.884 8.411 90.00 90.00 90.00
Space group Cmmm (No. 65)
Unique sites:
Fe 0.000 0.000 0.000 [2 per cell]
Ag 0.000 0.000 0.500 [2 per cell]
Pb 0.000 0.500 0.225 [4 per cell]

- Magnetization: 5.17 Bohr magnetons per cell

Verdict on stability: (two) comes out on top.

(one)
# FeAgPb2

A geometry-optimized FeAgPb2 structure (GGA-PBE, the Alexandria database).

Lattice parameters (Å, degrees): 7.218 7.218 7.218 90.00 90.00 90.00
Space group F-43m (No. 216)
Unique sites:
Fe 0.000 0.000 0.000 [4 per cell]
Ag 0.250 0.250 0.250 [4 per cell]
Pb 0.000 0.000 0.500 [4 per cell]
Pb 0.250 0.250 0.750 [4 per cell]

- Magnetization: 12.54 Bohr magnetons per cell

(two)
# FeAgPb2

A geometry-optimized FeAgPb2 structure (GGA-PBE, the Alexandria database).

Lattice parameters (Å, degrees): 4.230 4.230 9.995 90.00 90.00 90.00
Space group I-4m2 (No. 119)
Unique sites:
Fe 0.000 0.000 0.000 [2 per cell]
Ag 0.000 0.500 0.250 [2 per cell]
Pb 0.000 0.000 0.500 [2 per cell]
Pb 0.000 0.500 0.750 [2 per cell]

- Magnetization: 5.69 Bohr magnetons per cell

Verdict on stability: (two) comes out on top.

(one)
# FeAgPb2

A geometry-optimized FeAgPb2 structure (GGA-PBE, the Alexandria database).

Lattice parameters (Å, degrees): 9.610 9.610 5.274 90.00 90.00 90.00
Space group I-42d (No. 122)
Unique sites:
Fe 0.000 0.000 0.000 [4 per cell]
Ag 0.000 0.000 0.500 [4 per cell]
Pb 0.001 0.250 0.125 [8 per cell]

- Magnetization: 0.00 Bohr magnetons per cell

(two)
# FeAgPb2

A geometry-optimized FeAgPb2 structure (GGA-PBE, the Alexandria database).

Lattice parameters (Å, degrees): 6.946 6.946 6.946 90.00 90.00 90.00
Space group Fm-3m (No. 225)
Unique sites:
Fe 0.000 0.000 0.000 [4 per cell]
Ag 0.000 0.000 0.500 [4 per cell]
Pb 0.250 0.250 0.250 [8 per cell]

- Magnetization: 0.00 Bohr magnetons per cell

Verdict on stability: (one) comes out on top.